MgZnRh after structural relaxation, computed with PBE-GGA.

Space-group type   F-43m, No. 216
Total energy   -3.515 eV/atom

Cell lengths 4.201, 4.201, 4.201 Å; angles 60.00, 60.00, 60.00 degrees
Atoms (fractional coordinates):
Mg  0.000  0.000  0.000
Rh  0.500  0.500  0.500
Zn  0.750  0.750  0.750